# YMgCd2 | the Alexandria database | PBEsol | optimized geometry
data_YMgCd2
_cell_length_a 3.911
_cell_length_b 4.863
_cell_length_c 4.863
_cell_angle_alpha 90.00
_cell_angle_beta 90.00
_cell_angle_gamma 90.00
_symmetry_space_group_name_H-M 'P 1'
_symmetry_Int_Tables_number 1
_symmetry_space_group_name_Hall 'P 1'
loop_
_atom_site_label
_atom_site_type_symbol
_atom_site_fract_x
_atom_site_fract_y
_atom_site_fract_z
Y1 Y 0.500 0.000 0.000
Cd1 Cd 0.000 0.500 0.000
Mg1 Mg 0.500 0.500 0.500
Cd2 Cd 0.000 0.000 0.500
# Calculated volume = 92 Å³/f.u.
# Calculated formation energy = -0.2796 eV/atom
# Total moment = 0.00 Bohr magnetons per cell
# N(E_F) = 0.70 states/eV per atom


# Li3ScTa | the Alexandria database | PBEsol | optimized geometry
data_Li3ScTa
_cell_length_a 4.821
_cell_length_b 4.821
_cell_length_c 4.821
_cell_angle_alpha 90.00
_cell_angle_beta 90.00
_cell_angle_gamma 90.00
_symmetry_space_group_name_H-M 'P 1'
_symmetry_Int_Tables_number 1
_symmetry_space_group_name_Hall 'P 1'
loop_
_atom_site_label
_atom_site_type_symbol
_atom_site_fract_x
_atom_site_fract_y
_atom_site_fract_z
Li1 Li 0.000 0.000 0.500
Ta1 Ta 0.000 0.000 0.000
Sc1 Sc 0.500 0.500 0.500
Li2 Li 0.000 0.500 0.000
Li3 Li 0.500 0.000 0.000
# Calculated volume = 112 Å³/f.u.
# Calculated formation energy = 1.4184 eV/atom
# Total moment = 4.32 Bohr magnetons per cell
# N(E_F) = 0.82 states/eV per atom


# LaTa3B | the Alexandria database | PBEsol | optimized geometry
data_LaTa3B
_cell_length_a 4.523
_cell_length_b 4.523
_cell_length_c 4.523
_cell_angle_alpha 90.00
_cell_angle_beta 90.00
_cell_angle_gamma 90.00
_symmetry_space_group_name_H-M 'P 1'
_symmetry_Int_Tables_number 1
_symmetry_space_group_name_Hall 'P 1'
loop_
_atom_site_label
_atom_site_type_symbol
_atom_site_fract_x
_atom_site_fract_y
_atom_site_fract_z
Ta1 Ta 0.000 0.500 0.000
La1 La 0.500 0.500 0.500
Ta2 Ta 0.000 0.000 0.500
Ta3 Ta 0.500 0.000 0.000
B1 B 0.000 0.000 0.000
# Calculated volume = 93 Å³/f.u.
# Calculated formation energy = 0.3838 eV/atom
# Total moment = 0.00 Bohr magnetons per cell
# N(E_F) = 1.60 states/eV per atom


# Zr2ScOs | the Alexandria database | PBEsol | optimized geometry
data_Zr2ScOs
_cell_length_a 3.266
_cell_length_b 3.266
_cell_length_c 7.347
_cell_angle_alpha 90.00
_cell_angle_beta 90.00
_cell_angle_gamma 90.00
_symmetry_space_group_name_H-M 'P 1'
_symmetry_Int_Tables_number 1
_symmetry_space_group_name_Hall 'P 1'
loop_
_atom_site_label
_atom_site_type_symbol
_atom_site_fract_x
_atom_site_fract_y
_atom_site_fract_z
Sc1 Sc 0.500 0.500 0.500
Zr1 Zr 0.000 0.000 0.782
Os1 Os 0.500 0.500 0.000
Zr2 Zr 0.000 0.000 0.218
# Calculated volume = 78 Å³/f.u.
# Calculated formation energy = -0.1630 eV/atom
# Total moment = 0.01 Bohr magnetons per cell
# N(E_F) = 1.67 states/eV per atom


# PdNF2 | the Alexandria database | PBEsol | optimized geometry
data_PdNF2
_cell_length_a 3.910
_cell_length_b 3.910
_cell_length_c 3.910
_cell_angle_alpha 60.00
_cell_angle_beta 60.00
_cell_angle_gamma 60.00
_symmetry_space_group_name_H-M 'P 1'
_symmetry_Int_Tables_number 1
_symmetry_space_group_name_Hall 'P 1'
loop_
_atom_site_label
_atom_site_type_symbol
_atom_site_fract_x
_atom_site_fract_y
_atom_site_fract_z
Pd1 Pd 0.500 0.500 0.500
N1 N 0.000 0.000 0.000
F1 F 0.250 0.250 0.250
F2 F 0.750 0.750 0.750
# Calculated volume = 42 Å³/f.u.
# E_form (uncorrected) = 0.850 eV per atom
# Total moment = 4.19 Bohr magnetons per cell
# N(E_F) = 1.42 states/eV per atom
# Offset from the most stable computed form = 0.43 eV per formula unit


# MgSb2IN | the Alexandria database | PBEsol | optimized geometry
data_MgSb2IN
_cell_length_a 4.736
_cell_length_b 4.736
_cell_length_c 4.911
_cell_angle_alpha 90.00
_cell_angle_beta 90.00
_cell_angle_gamma 90.00
_symmetry_space_group_name_H-M 'P 1'
_symmetry_Int_Tables_number 1
_symmetry_space_group_name_Hall 'P 1'
loop_
_atom_site_label
_atom_site_type_symbol
_atom_site_fract_x
_atom_site_fract_y
_atom_site_fract_z
Mg1 Mg 0.500 0.500 0.500
Sb1 Sb 0.500 0.000 0.000
N1 N 0.000 0.000 0.000
Sb2 Sb 0.000 0.500 0.000
I1 I 0.000 0.000 0.500
# Calculated volume = 110 Å³/f.u.
# E_form (uncorrected) = 0.513 eV per atom
# Total moment = 0.00 Bohr magnetons per cell
# N(E_F) = 0.85 states/eV per atom


Question: The highest total moment belongs to which entry?
Answer: Li3ScTa


Question: The lowest N(E_F) belongs to which entry?
Answer: YMgCd2


Question: Which value of total moment does entry 2 give?
Answer: 4.32 Bohr magnetons per cell


Repeat the second record exactly.
# Li3ScTa | the Alexandria database | PBEsol | optimized geometry
data_Li3ScTa
_cell_length_a 4.821
_cell_length_b 4.821
_cell_length_c 4.821
_cell_angle_alpha 90.00
_cell_angle_beta 90.00
_cell_angle_gamma 90.00
_symmetry_space_group_name_H-M 'P 1'
_symmetry_Int_Tables_number 1
_symmetry_space_group_name_Hall 'P 1'
loop_
_atom_site_label
_atom_site_type_symbol
_atom_site_fract_x
_atom_site_fract_y
_atom_site_fract_z
Li1 Li 0.000 0.000 0.500
Ta1 Ta 0.000 0.000 0.000
Sc1 Sc 0.500 0.500 0.500
Li2 Li 0.000 0.500 0.000
Li3 Li 0.500 0.000 0.000
# Calculated volume = 112 Å³/f.u.
# Calculated formation energy = 1.4184 eV/atom
# Total moment = 4.32 Bohr magnetons per cell
# N(E_F) = 0.82 states/eV per atom